CePm2PrBi5 | PBE | optimized geometry

Summary:
DOS(E_F): 12.12 states/eV/f.u.
Energy of formation from the pure elements: 0.024 eV per atom
Mass density: 7.08 g/cm³
Crystal system: tetragonal
Total magnetic moment: 0.77 Bohr magnetons per cell

Cell lengths 5.590, 5.590, 12.119 Å; angles 90.00, 90.00, 90.00 degrees
Fractional positions:
Ce (0.000, 0.000, 0.000)
Pm (0.500, 0.500, 0.274)
Pm (0.500, 0.500, 0.726)
Pr (0.000, 0.000, 0.500)
Bi (0.000, 0.500, 0.500)
Bi (0.500, 0.000, 0.500)
Bi (0.000, 0.000, 0.755)
Bi (0.000, 0.000, 0.245)
Bi (0.500, 0.500, 0.000)

Y2AsW4 | PBE | optimized geometry

Summary:
DOS(E_F): 10.28 states/eV/f.u.
Energy of formation from the pure elements: 1.446 eV per atom
Mass density: 10.02 g/cm³
Crystal system: tetragonal
Total magnetic moment: 2.83 Bohr magnetons per cell

Cell lengths 4.631, 4.631, 8.304 Å; angles 73.81, 73.81, 90.00 degrees
Fractional positions:
Y (0.644, 0.644, 0.712)
Y (0.356, 0.356, 0.288)
As (0.000, 0.000, 0.000)
W (0.845, 0.845, 0.309)
W (0.155, 0.155, 0.691)
W (0.000, 0.500, 0.000)
W (0.500, 0.000, 0.000)